PrYHf: relaxed, PBE.

Energy above the lowest structure with this stoichiometry in meV/atom: 0
ΔH_f (0 K) in eV per atom: 0.855
Crystal system: cubic
M_tot in μB per atom: 0.5172

a b c (Å): 7.433 7.433 7.433
angles (deg): 90.00 90.00 90.00
Space group F-43m (No. 216)
Unique sites:
Pr1 0.000 0.000 0.000 x4
Y1 0.000 0.000 0.500 x4
Hf1 0.250 0.250 0.250 x4